i | First-principles (GGA+U) data for crystalline MnGaI2O at its relaxed geometry, as listed in the Alexandria database.

```
data_MnGaI2O
_chemical_formula_sum 'Mn1 Ga1 I2 O1'
_space_group_name_H-M_alt 'P 4/m m m'
_space_group_IT_number 123
_space_group_name_Hall '-P 4 2'
_cell_length_a 5.995
_cell_length_b 5.995
_cell_length_c 3.747
_cell_angle_alpha 90.00
_cell_angle_beta 90.00
_cell_angle_gamma 90.00
loop_
_atom_site_label
_atom_site_type_symbol
_atom_site_fract_x
_atom_site_fract_y
_atom_site_fract_z
_atom_site_occupancy
Mn1 Mn 0.000 0.000 0.000 1
Ga1 Ga 0.500 0.500 0.500 1
I1 I 0.000 0.500 0.000 1
O1 O 0.000 0.000 0.500 1
```

ii | First-principles (GGA+U) data for crystalline MnGaI2O at its relaxed geometry, as listed in the Alexandria database.

```
data_MnGaI2O
_chemical_formula_sum 'Mn1 Ga1 I2 O1'
_space_group_name_H-M_alt 'P 4/m m m'
_space_group_IT_number 123
_space_group_name_Hall '-P 4 2'
_cell_length_a 6.393
_cell_length_b 6.393
_cell_length_c 3.874
_cell_angle_alpha 90.00
_cell_angle_beta 90.00
_cell_angle_gamma 90.00
loop_
_atom_site_label
_atom_site_type_symbol
_atom_site_fract_x
_atom_site_fract_y
_atom_site_fract_z
_atom_site_occupancy
Mn1 Mn 0.000 0.000 0.000 1
Ga1 Ga 0.500 0.500 0.500 1
I1 I 0.000 0.500 0.500 1
O1 O 0.500 0.500 0.000 1
```

Question: which arrangement is favored energetically? Ranking from most to least stable: i, ii.